{"formula": "Tm8Tl2Ag", "functional": "PBE", "state": "optimized geometry", "formation_enthalpy_0k_ev_per_atom": -0.126, "rho_g_cm3": 10.0, "volume_a3_per_cell": 309.2, "crystal_system": "monoclinic", "dft_energy_ev_per_atom": -4.0671, "lattice_angstrom": [[-4.8298, 1.1787, -1.1398], [-1.7329, -6.4665, 0.6557], [1.0923, 2.2923, 9.1548]], "species": ["Tm", "Tm", "Tm", "Tm", "Tm", "Tm", "Tm", "Tm", "Tl", "Tl", "Ag"], "frac_coords": [[0.4090, 0.5344, 0.8180], [0.6536, 0.9805, 0.3072], [0.7977, 0.6915, 0.5954], [0.9837, 0.2385, 0.9674], [0.2023, 0.3085, 0.4046], [0.3464, 0.0195, 0.6928], [0.5910, 0.4656, 0.1820], [0.0163, 0.7615, 0.0326], [0.8107, 0.2457, 0.6213], [0.1893, 0.7543, 0.3787], [0.5000, 0.0000, 0.0000]]}